# 1
ScPb: optimized geometry, PBE.

Geometry as POSCAR:
```
ScPb
1.0
8.175 0.000 0.000
0.000 8.175 0.000
0.000 0.000 8.175
Sc Pb
6 6
Direct
0.000 0.500 0.750
0.500 0.750 0.000
0.000 0.500 0.250
0.250 0.000 0.500
0.750 0.000 0.500
0.500 0.250 0.000
0.000 0.750 0.500
0.000 0.250 0.500
0.250 0.500 0.000
0.500 0.000 0.250
0.750 0.500 0.000
0.500 0.000 0.750
```

## Properties
- Theoretical density: 4.60 g cm⁻³
- M_tot: 0.00 μB per formula unit
- Energy: -4.4982 eV/atom
- Energy of formation: 522 meV/atom



# 2
YCrRh2: optimized geometry, PBE.

Geometry as POSCAR:
```
YCrRh2
1.0
-0.021 1.357 4.342
3.249 -3.035 0.964
7.372 4.777 0.925
Cr Y Rh
2 2 4
Direct
0.500 0.500 0.000
0.250 0.750 0.500
0.750 0.250 0.500
0.000 0.000 0.000
0.875 0.748 0.750
0.375 0.502 0.750
0.252 0.625 0.250
0.498 0.125 0.250
```

## Properties
- Theoretical density: 6.76 g cm⁻³
- M_tot: 2.99 μB per formula unit
- Energy: -7.4881 eV/atom
- Polymorph energy (0 for the lowest one): 12.23 kcal/mol of atoms
- Energy of formation: 210 meV/atom



# 3
Ac6Nd8Dy: optimized geometry, PBE.

Geometry as POSCAR:
```
Ac6Nd8Dy
1.0
0.354 -1.544 9.071
2.051 -8.546 2.749
8.310 -1.353 3.729
Nd Ac Dy
8 6 1
Direct
0.293 0.238 0.888
0.238 0.888 0.293
0.888 0.293 0.238
0.112 0.707 0.762
0.425 0.425 0.425
0.762 0.112 0.707
0.575 0.575 0.575
0.707 0.762 0.112
0.910 0.457 0.761
0.457 0.761 0.910
0.090 0.543 0.239
0.239 0.090 0.543
0.543 0.239 0.090
0.761 0.910 0.457
0.000 0.000 0.000
```

## Properties
- Theoretical density: 7.59 g cm⁻³
- M_tot: 0.00 μB per formula unit
- Energy: -4.3814 eV/atom
- Energy of formation: 112 meV/atom



# 4
RbCaHF2: optimized geometry, PBE.

Geometry as POSCAR:
```
RbCaHF2
1.0
-2.198 -1.299 3.725
2.696 -3.608 0.333
2.878 2.384 2.530
F Rb Ca H
2 1 1 1
Direct
0.500 0.000 0.000
0.000 0.500 0.000
0.500 0.500 0.500
0.000 0.000 0.000
0.000 0.000 0.500
```

## Properties
- Theoretical density: 2.97 g cm⁻³
- M_tot: 0.00 μB per formula unit
- Energy: -4.4616 eV/atom



# 5
EuHoO: optimized geometry, PBE.

Geometry as POSCAR:
```
EuHoO
1.0
3.585 0.000 0.000
-1.793 3.105 0.000
0.000 0.000 6.056
Eu O Ho
1 1 1
Direct
0.000 0.000 0.917
0.333 0.667 0.633
0.667 0.333 0.450
```

## Properties
- Theoretical density: 8.20 g cm⁻³
- M_tot: 8.33 μB per formula unit
- Energy: -8.3321 eV/atom
- E_form (uncorrected): -1729 meV per atom



# 6
TbP3Ru3: optimized geometry, PBE.

Geometry as POSCAR:
```
TbP3Ru3
1.0
6.675 0.000 0.000
3.337 5.780 0.000
3.337 1.927 6.572
Tb Ru P
2 6 6
Direct
0.333 0.333 0.001
0.667 0.667 0.999
0.223 0.884 0.361
0.116 0.468 0.639
0.777 0.116 0.639
0.532 0.223 0.361
0.468 0.777 0.639
0.884 0.532 0.361
0.224 0.595 0.277
0.904 0.224 0.277
0.405 0.096 0.723
0.776 0.405 0.723
0.595 0.904 0.277
0.096 0.776 0.723
```

## Properties
- Theoretical density: 7.27 g cm⁻³
- M_tot: 0.00 μB per formula unit
- Energy: -7.7028 eV/atom
- Energy of formation: -747 meV/atom



# 7
Pr3InCo: optimized geometry, PBE.

Geometry as POSCAR:
```
Pr3InCo
1.0
3.970 0.000 0.000
0.000 7.931 -3.917
0.000 -0.071 9.081
Pr Co In
6 2 2
Direct
0.696 0.679 0.070
0.196 0.037 0.155
0.695 0.385 0.399
0.195 0.380 0.719
0.195 0.742 0.484
0.696 0.041 0.835
0.695 0.671 0.718
0.195 0.751 0.837
0.695 0.042 0.466
0.196 0.380 0.089
```

## Properties
- Theoretical density: 6.96 g cm⁻³
- M_tot: 0.68 μB per formula unit
- Energy: -5.0295 eV/atom
- Polymorph energy (0 for the lowest one): 0.00 kcal/mol of atoms
- Energy of formation: -193 meV/atom



# 8
TbSi2Au: optimized geometry, PBE.

Geometry as POSCAR:
```
TbSi2Au
1.0
4.271 0.000 0.000
0.000 10.606 0.000
0.000 0.000 13.579
Tb Au Si
8 8 16
Direct
0.250 0.747 0.545
0.750 0.040 0.193
0.250 0.753 0.045
0.250 0.960 0.807
0.750 0.460 0.693
0.750 0.253 0.455
0.750 0.247 0.955
0.250 0.540 0.307
0.750 0.342 0.243
0.750 0.551 0.938
0.750 0.949 0.438
0.250 0.449 0.062
0.250 0.842 0.257
0.250 0.658 0.757
0.250 0.051 0.562
0.750 0.158 0.743
0.250 0.041 0.022
0.250 0.276 0.613
0.750 0.776 0.887
0.250 0.038 0.366
0.750 0.765 0.709
0.750 0.538 0.134
0.250 0.462 0.866
0.250 0.235 0.291
0.750 0.962 0.634
0.250 0.224 0.113
0.250 0.459 0.522
0.750 0.959 0.978
0.750 0.735 0.209
0.750 0.541 0.478
0.250 0.265 0.791
0.750 0.724 0.387
```

## Properties
- Theoretical density: 8.90 g cm⁻³
- M_tot: 0.00 μB per formula unit
- Energy: -5.2643 eV/atom
- E_form (uncorrected): -576 meV per atom



# 9
Sc2CrRh: optimized geometry, PBE.

Geometry as POSCAR:
```
Sc2CrRh
1.0
-0.131 -1.830 2.306
0.252 -2.307 -1.817
8.176 0.323 0.723
Sc Rh Cr
2 1 1
Direct
0.000 0.000 0.951
0.500 0.500 0.304
0.500 0.500 0.711
0.000 0.000 0.534
```

## Properties
- Theoretical density: 5.70 g cm⁻³
- M_tot: 0.00 μB per formula unit
- Energy: -7.5163 eV/atom
- Polymorph energy (0 for the lowest one): 6.22 kcal/mol of atoms
- Energy of formation: -107 meV/atom



# 10
MnTl2Zn: optimized geometry, PBE.

Geometry as POSCAR:
```
MnTl2Zn
1.0
-3.586 -3.573 -7.770
-1.212 -5.856 -7.088
-4.222 -6.065 -5.603
Tl Zn Mn
2 1 1
Direct
0.001 0.001 0.001
0.499 0.499 0.499
0.250 0.250 0.250
0.750 0.750 0.750
```

## Properties
- Theoretical density: 9.89 g cm⁻³
- M_tot: 4.06 μB per formula unit
- Energy: -3.4033 eV/atom
- Polymorph energy (0 for the lowest one): 2.98 kcal/mol of atoms
- Energy of formation: 391 meV/atom



# 11
TmLu2Co: optimized geometry, PBE.

Geometry as POSCAR:
```
TmLu2Co
1.0
-2.470 0.458 -2.187
-0.143 -3.285 -0.527
-5.750 -0.767 6.334
Lu Tm Co
2 1 1
Direct
0.000 0.000 0.816
0.000 0.000 0.184
0.500 0.500 0.500
0.500 0.500 0.000
```

## Properties
- Theoretical density: 10.07 g cm⁻³
- M_tot: 1.04 μB per formula unit
- Energy: -5.2597 eV/atom
- Polymorph energy (0 for the lowest one): 0.00 kcal/mol of atoms
- Energy of formation: -105 meV/atom



# 12
GdLuZnNi: optimized geometry, PBE.

Geometry as POSCAR:
```
GdLuZnNi
1.0
4.882 0.000 0.000
2.441 4.228 0.000
2.441 1.409 3.986
Zn Lu Ni Gd
1 1 1 1
Direct
0.750 0.750 0.750
0.000 0.000 0.000
0.250 0.250 0.250
0.500 0.500 0.500
```

## Properties
- Theoretical density: 9.21 g cm⁻³
- M_tot: 7.16 μB per formula unit
- Energy: -6.7653 eV/atom
- Energy of formation: -351 meV/atom



What did the fourth record say?
RbCaHF2: optimized geometry, PBE.

Geometry as POSCAR:
```
RbCaHF2
1.0
-2.198 -1.299 3.725
2.696 -3.608 0.333
2.878 2.384 2.530
F Rb Ca H
2 1 1 1
Direct
0.500 0.000 0.000
0.000 0.500 0.000
0.500 0.500 0.500
0.000 0.000 0.000
0.000 0.000 0.500
```

## Properties
- Theoretical density: 2.97 g cm⁻³
- M_tot: 0.00 μB per formula unit
- Energy: -4.4616 eV/atom